Entry 1:
Here is AgRh5 after structural relaxation from the Alexandria database. Energies are from PBE.

a = 2.7454 Å, b = 4.5886 Å, c = 7.5543 Å
α = 107.68°, β = 90.00°, γ = 90.00°
Fractional coordinates of all 6 atoms:
Rh: 0.0000 0.6554 0.3107
Rh: 0.0000 0.3446 0.6893
Rh: 0.5000 0.5000 0.0000
Rh: 0.5000 0.1844 0.3689
Rh: 0.5000 0.8156 0.6311
Ag: 0.0000 0.0000 0.0000

Summary:
- ρ (g/cm³) = 11.4
- magnetization (μB/cell) = 0.00
- ΔE_f (kJ per mole of atoms) = 27.0

Entry 2:
Here is Ag4Rh3 after structural relaxation from the Alexandria database. Energies are from PBE.

a = 14.6542 Å, b = 14.6542 Å, c = 14.6542 Å
α = 169.06°, β = 169.06°, γ = 15.50°
Last column: magnetic moment on the atom in μB.
Fractional coordinates of all 7 atoms:
Ag: 0.8528 0.8528 0.0000  0.00
Ag: 0.5714 0.5714 0.0000  0.01
Ag: 0.4286 0.4286 0.0000  0.01
Ag: 0.1472 0.1472 0.0000  0.00
Rh: 0.0000 0.0000 0.0000  0.57
Rh: 0.7201 0.7201 0.0000  -0.01
Rh: 0.2799 0.2799 0.0000  -0.01

Summary:
- ρ (g/cm³) = 10.8
- magnetization (μB/cell) = 0.55
- ΔE_f (kJ per mole of atoms) = 16.9

Entry 3:
Here is Ag4Rh after structural relaxation from the Alexandria database. Energies are from PBE.

a = 12.0634 Å, b = 12.0634 Å, c = 12.0634 Å
α = 13.65°, β = 13.65°, γ = 13.65°
Last column: magnetic moment on the atom in μB.
Fractional coordinates of all 5 atoms:
Ag: 0.8980 0.8980 0.8980  0.01
Ag: 0.2992 0.2992 0.2992  0.01
Ag: 0.7008 0.7008 0.7008  0.01
Ag: 0.1020 0.1020 0.1020  0.01
Rh: 0.5000 0.5000 0.5000  0.72

Summary:
- energy above the lowest structure with this stoichiometry (eV/atom) = 0.001
- ρ (g/cm³) = 10.4
- magnetization (μB/cell) = 0.76
- ΔE_f (kJ per mole of atoms) = 14.8

- Which value of magnetization does entry 1 give?
  0.00 μB/cell

- Look up the ΔE_f of the second one.
  16.9 kJ per mole of atoms

- Which of these has the highest ΔE_f?
  AgRh5

- Among the records above, which one has the lowest magnetization?
  AgRh5